This record from Alexandria via LeMat-Bulk describes an optimized crystal structure of Cs3NaMn2F9. The functional is PBE with a Hubbard U.

```
data_Cs3NaMn2F9
_space_group_name_H-M_alt 'P -3 m 1'
_space_group_IT_number 164
_space_group_name_Hall '-P 3 2"'
_cell_length_a 6.2144
_cell_length_b 6.2144
_cell_length_c 7.6608
_cell_angle_alpha 90.00
_cell_angle_beta 90.00
_cell_angle_gamma 120.00
loop_
_atom_site_label
_atom_site_fract_x
_atom_site_fract_y
_atom_site_fract_z
Cs1 0.0000 0.0000 0.0000
Cs2 0.3333 0.6667 0.6532
Na1 0.0000 0.0000 0.5000
Mn1 0.3333 0.6667 0.1577
F1 0.0000 0.5000 0.0000
F2 0.1788 0.3576 0.3091
```

Values from the calculation:
* E_tot: -76.2 eV/cell
* spin magnetization: 9.0 Bohr magnetons per cell